No. 1
# CaSn3Rh2, optimized geometry, DFT PBE-GGA
# total magnetization: 0.0 μB per formula unit
# energy of formation: -0.50 eV per atom
# DOS at the Fermi energy: 15.41 states/eV/cell
data_CaSn3Rh2
_chemical_formula_sum 'Ca6 Sn18 Rh12'
_symmetry_space_group_name_H-M 'C 1 2/m 1'
_symmetry_Int_Tables_number 12
_symmetry_space_group_name_Hall '-C 2y'
_cell_length_a 17.503
_cell_length_b 4.398
_cell_length_c 10.955
_cell_angle_alpha 90.00
_cell_angle_beta 108.75
_cell_angle_gamma 90.00
loop_
_atom_site_label
_atom_site_type_symbol
_atom_site_fract_x
_atom_site_fract_y
_atom_site_fract_z
_atom_site_occupancy
Ca1 Ca 0.000 0.000 0.000 1
Ca2 Ca 0.157 0.000 0.702 1
Sn1 Sn 0.000 0.500 0.500 1
Sn2 Sn 0.041 0.000 0.345 1
Sn3 Sn 0.122 0.500 0.183 1
Sn4 Sn 0.170 0.500 0.946 1
Sn5 Sn 0.223 0.000 0.381 1
Rh1 Rh 0.023 0.500 0.773 1
Rh2 Rh 0.137 0.500 0.437 1
Rh3 Rh 0.195 0.000 0.118 1

No. 2
# CaSn2Rh, optimized geometry, DFT PBE-GGA
# total magnetization: 0.0 μB per formula unit
# energy of formation: -0.62 eV per atom
# DOS at the Fermi energy: 16.23 states/eV/cell
data_CaSn2Rh
_chemical_formula_sum 'Ca8 Sn16 Rh8'
_symmetry_space_group_name_H-M 'P n m a'
_symmetry_Int_Tables_number 62
_symmetry_space_group_name_Hall '-P 2ac 2n'
_cell_length_a 16.527
_cell_length_b 7.482
_cell_length_c 5.884
_cell_angle_alpha 90.00
_cell_angle_beta 90.00
_cell_angle_gamma 90.00
loop_
_atom_site_label
_atom_site_type_symbol
_atom_site_fract_x
_atom_site_fract_y
_atom_site_fract_z
_atom_site_occupancy
Ca1 Ca 0.108 0.250 0.249 1
Ca2 Ca 0.143 0.750 0.022 1
Sn1 Sn 0.034 0.047 0.750 1
Sn2 Sn 0.213 0.549 0.517 1
Rh1 Rh 0.074 0.750 0.501 1
Rh2 Rh 0.174 0.250 0.768 1

Please write out number 2 again, unchanged.
# CaSn2Rh, optimized geometry, DFT PBE-GGA
# total magnetization: 0.0 μB per formula unit
# energy of formation: -0.62 eV per atom
# DOS at the Fermi energy: 16.23 states/eV/cell
data_CaSn2Rh
_chemical_formula_sum 'Ca8 Sn16 Rh8'
_symmetry_space_group_name_H-M 'P n m a'
_symmetry_Int_Tables_number 62
_symmetry_space_group_name_Hall '-P 2ac 2n'
_cell_length_a 16.527
_cell_length_b 7.482
_cell_length_c 5.884
_cell_angle_alpha 90.00
_cell_angle_beta 90.00
_cell_angle_gamma 90.00
loop_
_atom_site_label
_atom_site_type_symbol
_atom_site_fract_x
_atom_site_fract_y
_atom_site_fract_z
_atom_site_occupancy
Ca1 Ca 0.108 0.250 0.249 1
Ca2 Ca 0.143 0.750 0.022 1
Sn1 Sn 0.034 0.047 0.750 1
Sn2 Sn 0.213 0.549 0.517 1
Rh1 Rh 0.074 0.750 0.501 1
Rh2 Rh 0.174 0.250 0.768 1

Copy entry 2 word for word.
# CaSn2Rh, optimized geometry, DFT PBE-GGA
# total magnetization: 0.0 μB per formula unit
# energy of formation: -0.62 eV per atom
# DOS at the Fermi energy: 16.23 states/eV/cell
data_CaSn2Rh
_chemical_formula_sum 'Ca8 Sn16 Rh8'
_symmetry_space_group_name_H-M 'P n m a'
_symmetry_Int_Tables_number 62
_symmetry_space_group_name_Hall '-P 2ac 2n'
_cell_length_a 16.527
_cell_length_b 7.482
_cell_length_c 5.884
_cell_angle_alpha 90.00
_cell_angle_beta 90.00
_cell_angle_gamma 90.00
loop_
_atom_site_label
_atom_site_type_symbol
_atom_site_fract_x
_atom_site_fract_y
_atom_site_fract_z
_atom_site_occupancy
Ca1 Ca 0.108 0.250 0.249 1
Ca2 Ca 0.143 0.750 0.022 1
Sn1 Sn 0.034 0.047 0.750 1
Sn2 Sn 0.213 0.549 0.517 1
Rh1 Rh 0.074 0.750 0.501 1
Rh2 Rh 0.174 0.250 0.768 1

Number 2 is which compound?
CaSn2Rh